Cs3Pr3CoO8 | the Alexandria database | PBE+U | optimized geometry; symmetry = R-3m, No. 166; calculated total energy = -6.13 eV/atom; total magnetization = 5.09 μB/f.u.
1.0
3.5735 2.0631 6.9638
-3.5735 2.0631 6.9638
0.0000 -4.1263 6.9638
Cs Pr Co O
3 3 1 8
Direct
0.0000 0.5000 0.5000 Cs
0.5000 0.0000 0.5000 Cs
0.5000 0.5000 0.0000 Cs
0.0000 0.0000 0.5000 Pr
0.0000 0.5000 0.0000 Pr
0.5000 0.0000 0.0000 Pr
0.5000 0.5000 0.5000 Co
0.2232 0.2232 0.2232 O
0.2583 0.6991 0.6991 O
0.3009 0.3009 0.7417 O
0.3009 0.7417 0.3009 O
0.6991 0.2583 0.6991 O
0.6991 0.6991 0.2583 O
0.7417 0.3009 0.3009 O
0.7768 0.7768 0.7768 O